Entry from the Alexandria database: an optimized crystal structure of Fe2MoAu (GGA-PBE).

Unit cell a=6.002 b=6.002 c=6.002 alpha=90.00 beta=90.00 gamma=90.00
Space group Fm-3m (No. 225)
Symmetry-distinct sites (fractional):
Fe 0.250 0.250 0.250
Mo 0.000 0.000 0.000
Au 0.000 0.000 0.500

Results
Energy above the lowest structure with this stoichiometry in meV/atom: 213
Calculated formation energy in eV/atom: 0.3742